Computed, not measured: a relaxed AgRuAu crystal at the PBEsol level of DFT.

extended XYZ file:
```
3
Lattice="-1.332 -2.189 0.884 -1.072 -0.896 -3.834 4.719 -0.775 1.034" Properties=species:S:1:pos:R:3 pbc="T T T"
Ag 2.301 -3.852 -1.915
Au -0.009 -2.329 -1.625
Ru 2.337 -1.540 -0.293
```

Results
energy relative to the elements	0.5026	eV/atom
calculated volume	15.6	Å³/atom
E_tot	-5.30	eV/atom
excess energy over the best structure of this formula in the dataset	0.0610	eV/atom

=====

Computed, not measured: a relaxed Ag3AuS2 crystal at the PBEsol level of DFT.

extended XYZ file:
```
6
Lattice="-4.083 -1.995 2.706 3.147 0.570 4.213 -1.776 4.982 0.039" Properties=species:S:1:pos:R:3 pbc="T T T"
Au -1.356 1.779 3.479
Ag -2.041 -0.998 1.353
Ag -0.888 2.491 0.019
S -0.614 0.805 1.575
Ag 1.573 0.285 2.106
S -2.098 2.752 5.382
```

Results
calculated volume	24.3	Å³/atom
formation energy (no corrections)	0.022	eV/atom
E_tot	-3.75	eV/atom
excess energy over the best structure of this formula in the dataset	0.0658	eV/atom

=====

Computed, not measured: a relaxed Ag3AuS2 crystal at the PBEsol level of DFT.

extended XYZ file:
```
48
Lattice="-2.810 -4.680 -7.869 -3.594 -7.007 5.451 -8.421 4.552 0.299" Properties=species:S:1:pos:R:3 pbc="T T T"
Au -9.461 -5.046 2.005
Ag -3.695 -4.714 4.122
Ag -7.206 -5.918 0.263
Au -9.270 -4.461 -1.325
Ag -5.641 -5.260 -2.069
Ag -9.486 -7.409 -0.950
Ag -7.644 -3.818 -3.743
Ag -5.384 0.185 -1.103
Ag -9.150 -1.816 0.049
Ag -4.377 -7.932 -2.460
S -5.347 -5.325 1.965
Au -6.651 -5.010 3.894
Ag -2.534 -4.341 -5.254
Ag -11.522 -3.585 0.417
Au -10.475 -1.569 -2.608
S -6.783 -7.739 -1.527
S -5.123 -9.235 1.304
Au -8.869 1.350 -2.004
Au -7.865 -6.765 -3.370
Ag -6.648 2.857 -0.710
S -9.746 -2.746 2.389
Ag -4.271 -2.979 1.767
Ag -7.136 -3.230 1.554
S -7.787 0.376 -0.160
S -7.170 -2.368 -7.497
Au -1.849 -0.890 -0.264
S -3.357 -5.806 -0.979
S -5.581 -0.339 -3.831
Ag -8.139 -9.934 -1.311
Ag -10.492 0.711 0.411
Ag -10.590 -4.214 -3.984
S -14.574 -7.014 -2.083
Ag -11.023 -2.476 -6.246
S -10.185 0.784 2.980
S -7.170 -3.451 -1.025
Ag -3.409 -3.494 -2.531
Ag -8.089 0.458 -4.742
Ag -12.244 -2.705 3.068
Ag -6.769 -7.653 2.525
Ag -7.514 -1.276 -2.385
Au -4.859 -6.149 -4.803
Ag -6.918 -4.695 -6.392
S -9.171 -1.884 -4.537
Ag -8.011 -2.382 4.276
S -5.145 -3.849 -4.418
S -6.136 -1.111 2.655
S -11.369 -5.472 -1.625
S -3.948 -1.900 -0.564
```

Results
calculated volume	18.3	Å³/atom
formation energy (no corrections)	-0.044	eV/atom
E_tot	-3.81	eV/atom
excess energy over the best structure of this formula in the dataset	0.0000	eV/atom